# 1
Entry from the Alexandria database: a geometry-optimized ErP2Ir5Pt structure (GGA-PBE).

Results
- theoretical density (Mg/m³) = 14.058
- calculated formation energy (eV per atom) = -0.33
- space group = P4/mmm, No. 123

abc: 3.9376 3.9376 10.5542
angles: 90.00 90.00 90.00
With the nearest neighbours (Å) after each atom.
Sites, in units of the cell vectors:
Er1 0.0000 0.0000 0.0000  4 Ir 2.78
P1 0.5000 0.5000 0.2166  5 Ir 2.29-2.31
P2 0.5000 0.5000 0.7834  5 Ir 2.29-2.31
Ir1 0.0000 0.5000 0.3305  2 P 2.31
Ir2 0.0000 0.5000 0.6695  2 P 2.31
Ir3 0.5000 0.0000 0.3305  2 P 2.31
Ir4 0.5000 0.0000 0.6695  2 P 2.31
Ir5 0.5000 0.5000 0.0000  2 P 2.29
Pt1 0.0000 0.0000 0.5000  8 Ir 2.66



# 2
Entry from the Alexandria database: a geometry-optimized ErP2IrRh2 structure (GGA-PBE).

Results
- theoretical density (Mg/m³) = 9.530
- calculated formation energy (eV per atom) = -0.24
- space group = P4/mmm, No. 123

abc: 4.4707 4.4707 5.4678
angles: 90.00 90.00 90.00
With the nearest neighbours (Å) after each atom.
Sites, in units of the cell vectors:
Er1 0.0000 0.0000 0.0000  2 Ir 2.73
P1 0.0000 0.5000 0.5000  2 Ir 2.24
P2 0.5000 0.0000 0.5000  2 Ir 2.24
Ir1 0.0000 0.0000 0.5000  4 P 2.24
Rh1 0.5000 0.5000 0.2475  4 P 2.63, 2 Rh 2.71-2.76
Rh2 0.5000 0.5000 0.7525  4 P 2.63, 2 Rh 2.71-2.76



# 3
Entry from the Alexandria database: a geometry-optimized Er3P2IrRh9 structure (GGA-PBE).

Results
- theoretical density (Mg/m³) = 10.144
- calculated formation energy (eV per atom) = -0.48
- space group = P-3m1, No. 164

abc: 5.7418 5.7418 9.6447
angles: 90.00 90.00 120.00
With the nearest neighbours (Å) after each atom.
Sites, in units of the cell vectors:
Er1 0.0000 0.0000 0.0000  12 Rh 2.87-3.17
Er2 0.3333 0.6667 0.5922  9 Rh 3.10-3.44, 3 Ir 3.43
Er3 0.6667 0.3333 0.4078  9 Rh 3.10-3.44, 3 Ir 3.43
P1 0.3333 0.6667 0.1559  6 Rh 2.18-2.24
P2 0.6667 0.3333 0.8441  6 Rh 2.18-2.24
Ir1 0.0000 0.0000 0.5000  6 Rh 2.57
Rh1 0.0000 0.5000 0.0000  2 P 2.24
Rh2 0.1548 0.3096 0.2871  1 P 2.18
Rh3 0.1548 0.8452 0.2871  1 P 2.18
Rh4 0.3096 0.1548 0.7129  1 P 2.18
Rh5 0.5000 0.0000 0.0000  2 P 2.24
Rh6 0.5000 0.5000 0.0000  2 P 2.24
Rh7 0.6904 0.8452 0.2871  1 P 2.18
Rh8 0.8452 0.1548 0.7129  1 P 2.18
Rh9 0.8452 0.6904 0.7129  1 P 2.18



# 4
Entry from the Alexandria database: a geometry-optimized Er2P4Ir3Ru structure (GGA-PBE).

Results
- theoretical density (Mg/m³) = 11.711
- calculated formation energy (eV per atom) = -0.99
- space group = P-4m2, No. 115

abc: 4.1443 4.1443 9.3796
angles: 90.00 90.00 90.00
With the nearest neighbours (Å) after each atom.
Sites, in units of the cell vectors:
Er1 0.0000 0.5000 0.2390  8 P 3.05-3.16, 7 Ir 3.15-3.33, 2 Ru 3.21
Er2 0.5000 0.0000 0.7610  8 P 3.05-3.16, 7 Ir 3.15-3.33, 2 Ru 3.21
P1 0.0000 0.0000 0.0000  4 Ir 2.34
P2 0.0000 0.5000 0.6341  3 Ir 2.34-2.42, 2 Ru 2.42
P3 0.5000 0.0000 0.3659  3 Ir 2.34-2.42, 2 Ru 2.42
P4 0.5000 0.5000 0.0000  4 Ir 2.34
Ir1 0.0000 0.5000 0.8839  5 P 2.34
Ir2 0.5000 0.0000 0.1161  5 P 2.34
Ir3 0.5000 0.5000 0.5000  4 P 2.42
Ru1 0.0000 0.0000 0.5000  4 P 2.42



# 5
Entry from the Alexandria database: a geometry-optimized ErScP2Ir5 structure (GGA-PBE).

Results
- theoretical density (Mg/m³) = 12.074
- calculated formation energy (eV per atom) = -0.60
- space group = P4/mmm, No. 123

abc: 3.9763 3.9763 10.7447
angles: 90.00 90.00 90.00
With the nearest neighbours (Å) after each atom.
Sites, in units of the cell vectors:
Er1 0.0000 0.0000 0.0000  4 Ir 2.81
Sc1 0.0000 0.0000 0.5000  8 Ir 2.80
P1 0.5000 0.5000 0.2122  5 Ir 2.28
P2 0.5000 0.5000 0.7878  5 Ir 2.28
Ir1 0.0000 0.5000 0.3167  2 P 2.28
Ir2 0.0000 0.5000 0.6833  2 P 2.28
Ir3 0.5000 0.0000 0.3167  2 P 2.28
Ir4 0.5000 0.0000 0.6833  2 P 2.28
Ir5 0.5000 0.5000 0.0000  2 P 2.28



# 6
Entry from the Alexandria database: a geometry-optimized Er2ScP3Ir12 structure (GGA-PBE).

Results
- theoretical density (Mg/m³) = 15.522
- calculated formation energy (eV per atom) = -0.21
- space group = R-3m, No. 166

abc: 6.7140 6.7140 6.7140
angles: 83.55 83.55 83.55
With the nearest neighbours (Å) after each atom.
Sites, in units of the cell vectors:
Er1 0.1278 0.1278 0.1278  6 Ir 2.58-2.88
Er2 0.8722 0.8722 0.8722  6 Ir 2.58-2.88
Sc1 0.5000 0.5000 0.5000  6 Ir 2.62
P1 0.0000 0.5000 0.5000  2 Ir 2.24
P2 0.5000 0.0000 0.5000  2 Ir 2.24
P3 0.5000 0.5000 0.0000  2 Ir 2.24
Ir1 0.1248 0.1248 0.6035  2 P 2.61, 1 Ir 2.68, 1 Er 2.88
Ir2 0.1248 0.6035 0.1248  2 P 2.61, 1 Ir 2.68, 1 Er 2.88
Ir3 0.1696 0.6766 0.6766  1 P 2.24
Ir4 0.3234 0.3234 0.8304  1 P 2.24
Ir5 0.3234 0.8304 0.3234  1 P 2.24
Ir6 0.3965 0.8752 0.8752  2 P 2.61, 1 Ir 2.68, 1 Er 2.88
Ir7 0.6035 0.1248 0.1248  2 P 2.61, 1 Ir 2.68, 1 Er 2.88
Ir8 0.6766 0.1696 0.6766  1 P 2.24
Ir9 0.6766 0.6766 0.1696  1 P 2.24
Ir10 0.8304 0.3234 0.3234  1 P 2.24
Ir11 0.8752 0.3965 0.8752  2 P 2.61, 1 Ir 2.68, 1 Er 2.88
Ir12 0.8752 0.8752 0.3965  2 P 2.61, 1 Ir 2.68, 1 Er 2.88



# 7
Entry from the Alexandria database: a geometry-optimized Er4PIrSe2 structure (GGA-PBE).

Results
- theoretical density (Mg/m³) = 9.262
- E_form (uncorrected) (eV per atom) = -1.4667
- space group = P2/m, No. 10

abc: 7.0058 3.9896 7.1089
angles: 90.00 108.64 90.00
With the nearest neighbours (Å) after each atom.
Sites, in units of the cell vectors:
Er1 0.2383 0.0000 0.2256  2 Ir 2.76, 1 P 2.80, 3 Se 2.95-2.98
Er2 0.2521 0.5000 0.7745  1 Ir 2.74, 2 P 2.79, 3 Se 2.95-3.00
Er3 0.7479 0.5000 0.2255  1 Ir 2.74, 2 P 2.79, 3 Se 2.95-3.00
Er4 0.7617 0.0000 0.7744  2 Ir 2.76, 1 P 2.80, 3 Se 2.95-2.98
P1 0.5000 0.0000 0.0000  6 Er 2.79-2.80
Ir1 0.0000 0.5000 0.0000  6 Er 2.74-2.76
Se1 0.0000 0.0000 0.5000  6 Er 2.95
Se2 0.5000 0.5000 0.5000  6 Er 2.98-3.00



# 8
Entry from the Alexandria database: a geometry-optimized Er3SiP2Ir9 structure (GGA-PBE).

Results
- theoretical density (Mg/m³) = 13.780
- E_form (uncorrected) (eV per atom) = -0.4141
- space group = P-3m1, No. 164

abc: 6.1502 6.1502 8.5412
angles: 90.00 90.00 120.00
With the nearest neighbours (Å) after each atom.
Sites, in units of the cell vectors:
Er1 0.0000 0.0000 0.0000  12 Ir 2.85-3.08
Er2 0.3333 0.6667 0.6943  9 Ir 3.09-3.16
Er3 0.6667 0.3333 0.3057  9 Ir 3.09-3.16
Si1 0.0000 0.0000 0.5000  6 Ir 2.42
P1 0.3333 0.6667 0.1764  6 Ir 2.20-2.33
P2 0.6667 0.3333 0.8236  6 Ir 2.20-2.33
Ir1 0.0000 0.5000 0.0000  2 P 2.33
Ir2 0.1446 0.2893 0.2810  1 P 2.20, 1 Si 2.42
Ir3 0.1446 0.8554 0.2810  1 P 2.20, 1 Si 2.42
Ir4 0.2893 0.1446 0.7190  1 P 2.20, 1 Si 2.42
Ir5 0.5000 0.0000 0.0000  2 P 2.33
Ir6 0.5000 0.5000 0.0000  2 P 2.33
Ir7 0.7107 0.8554 0.2810  1 P 2.20, 1 Si 2.42
Ir8 0.8554 0.1446 0.7190  1 P 2.20, 1 Si 2.42
Ir9 0.8554 0.7107 0.7190  1 P 2.20, 1 Si 2.42



# 9
Entry from the Alexandria database: a geometry-optimized Tb2ErP3Ir12 structure (GGA-PBE).

Results
- theoretical density (Mg/m³) = 15.728
- calculated formation energy (eV per atom) = -0.16
- space group = R-3m, No. 166

abc: 6.7598 6.7598 6.7598
angles: 84.28 84.28 84.28
With the nearest neighbours (Å) after each atom.
Sites, in units of the cell vectors:
Tb1 0.1302 0.1302 0.1302  3 Ir 2.58
Tb2 0.8698 0.8698 0.8698  3 Ir 2.58
Er1 0.5000 0.5000 0.5000  6 Ir 2.68
P1 0.0000 0.5000 0.5000  2 Ir 2.23
P2 0.5000 0.0000 0.5000  2 Ir 2.23
P3 0.5000 0.5000 0.0000  2 Ir 2.23
Ir1 0.1242 0.1242 0.6047  2 P 2.64, 1 Ir 2.67, 1 Tb 2.91
Ir2 0.1242 0.6047 0.1242  2 P 2.64, 1 Ir 2.67, 1 Tb 2.91
Ir3 0.1664 0.6781 0.6781  1 P 2.23
Ir4 0.3219 0.3219 0.8336  1 P 2.23
Ir5 0.3219 0.8336 0.3219  1 P 2.23
Ir6 0.3953 0.8758 0.8758  2 P 2.64, 1 Ir 2.67, 1 Tb 2.91
Ir7 0.6047 0.1242 0.1242  2 P 2.64, 1 Ir 2.67, 1 Tb 2.91
Ir8 0.6781 0.1664 0.6781  1 P 2.23
Ir9 0.6781 0.6781 0.1664  1 P 2.23
Ir10 0.8336 0.3219 0.3219  1 P 2.23
Ir11 0.8758 0.3953 0.8758  2 P 2.64, 1 Ir 2.67, 1 Tb 2.91
Ir12 0.8758 0.8758 0.3953  2 P 2.64, 1 Ir 2.67, 1 Tb 2.91



# 10
Entry from the Alexandria database: a geometry-optimized ErTh2P3Ir12 structure (GGA-PBE).

Results
- theoretical density (Mg/m³) = 15.909
- calculated formation energy (eV per atom) = -0.16
- space group = R-3m, No. 166

abc: 6.8423 6.8423 6.8423
angles: 84.62 84.62 84.62
With the nearest neighbours (Å) after each atom.
Sites, in units of the cell vectors:
Er1 0.0000 0.0000 0.0000  6 Ir 2.70
Th1 0.3585 0.3585 0.3585  3 Ir 2.63
Th2 0.6415 0.6415 0.6415  3 Ir 2.63
P1 0.0000 0.0000 0.5000  2 Ir 2.25
P2 0.0000 0.5000 0.0000  2 Ir 2.25
P3 0.5000 0.0000 0.0000  2 Ir 2.25
Ir1 0.1094 0.6247 0.6247  1 Ir 2.66, 2 P 2.69
Ir2 0.1769 0.1769 0.6693  1 P 2.25
Ir3 0.1769 0.6693 0.1769  1 P 2.25
Ir4 0.3307 0.8231 0.8231  1 P 2.25
Ir5 0.3753 0.3753 0.8906  1 Ir 2.66, 2 P 2.69
Ir6 0.3753 0.8906 0.3753  1 Ir 2.66, 2 P 2.69
Ir7 0.6247 0.1094 0.6247  1 Ir 2.66, 2 P 2.69
Ir8 0.6247 0.6247 0.1094  1 Ir 2.66, 2 P 2.69
Ir9 0.6693 0.1769 0.1769  1 P 2.25
Ir10 0.8231 0.3307 0.8231  1 P 2.25
Ir11 0.8231 0.8231 0.3307  1 P 2.25
Ir12 0.8906 0.3753 0.3753  1 Ir 2.66, 2 P 2.69



# 11
Entry from the Alexandria database: a geometry-optimized ErThP2Ir5 structure (GGA-PBE).

Results
- theoretical density (Mg/m³) = 13.196
- calculated formation energy (eV per atom) = -0.68
- space group = P4/mmm, No. 123

abc: 4.0727 4.0727 10.7904
angles: 90.00 90.00 90.00
With the nearest neighbours (Å) after each atom.
Sites, in units of the cell vectors:
Er1 0.0000 0.0000 0.0000  8 Ir 2.93
Th1 0.0000 0.0000 0.5000  4 Ir 2.88
P1 0.5000 0.5000 0.2873  5 Ir 2.26-2.30
P2 0.5000 0.5000 0.7127  5 Ir 2.26-2.30
Ir1 0.0000 0.5000 0.1957  2 P 2.26
Ir2 0.0000 0.5000 0.8043  2 P 2.26
Ir3 0.5000 0.0000 0.1957  2 P 2.26
Ir4 0.5000 0.0000 0.8043  2 P 2.26
Ir5 0.5000 0.5000 0.5000  2 P 2.30



# 12
Entry from the Alexandria database: a geometry-optimized ErTiP2Ir5 structure (GGA-PBE).

Results
- theoretical density (Mg/m³) = 12.578
- calculated formation energy (eV per atom) = -0.63
- space group = P4/mmm, No. 123

abc: 3.9960 3.9960 10.2371
angles: 90.00 90.00 90.00
With the nearest neighbours (Å) after each atom.
Sites, in units of the cell vectors:
Er1 0.0000 0.0000 0.0000  4 Ir 2.83
Ti1 0.0000 0.0000 0.5000  8 Ir 2.62
P1 0.5000 0.5000 0.2227  5 Ir 2.28-2.30
P2 0.5000 0.5000 0.7773  5 Ir 2.28-2.30
Ir1 0.0000 0.5000 0.3339  2 P 2.30
Ir2 0.0000 0.5000 0.6661  2 P 2.30
Ir3 0.5000 0.0000 0.3339  2 P 2.30
Ir4 0.5000 0.0000 0.6661  2 P 2.30
Ir5 0.5000 0.5000 0.0000  2 P 2.28



- Among the records above, which one has the highest theoretical density?
  ErTh2P3Ir12